A relaxed NbHPdBr crystal. Source: the Alexandria database, functional PBE-GGA.

Properties
excess energy over the best structure of this formula in the dataset = 49 meV per atom
SG = No. 160
M_tot = 0.000 μB per atom
Fermi-level density of states = 9.015 states/eV per cell

Cell: 3.2048 3.2048 21.1410 Å, 90.00 90.00 120.00°
Last column: nearest neighbours and their distance in Å.
Element x y z (fractional)
Nb 0.0000 0.0000 0.0000  1 H 2.12
Nb 0.3333 0.6667 0.6667  1 H 2.12
Nb 0.6667 0.3333 0.3333  1 H 2.12
H 0.0000 0.0000 0.1003  3 Pd 1.85
H 0.3333 0.6667 0.7670  3 Pd 1.85
H 0.6667 0.3333 0.4336  3 Pd 1.85
Pd 0.0000 0.0000 0.4379  3 H 1.85
Pd 0.3333 0.6667 0.1046  3 H 1.85
Pd 0.6667 0.3333 0.7713  3 H 1.85
Br 0.0000 0.0000 0.5764  3 Nb 2.66, 1 Pd 2.93
Br 0.3333 0.6667 0.2431  3 Nb 2.66, 1 Pd 2.93
Br 0.6667 0.3333 0.9098  3 Nb 2.66, 1 Pd 2.93